1.
Entry from Alexandria: an optimized crystal structure of Pt2PbSe3 (PBE-GGA).

Calculated values
crystal system: trigonal
formation energy from raw total energies: -36.4 kJ per mole of atoms

Cell lengths 7.5187, 7.5187, 17.7674 Å; angles 90.00, 90.00, 120.00 degrees
Closest atoms and distances in Å follow each position.
Space group R-3m (No. 166, hexagonal axes)
Inequivalent atoms, fractional coordinates:
Pt  0.0000  0.0000  0.0000  6 Se 2.53
Pt  0.0000  0.5000  0.0000  4 Se 2.52
Pb  0.0000  0.0000  0.2215  3 Pt 2.94
Se  0.0018  0.5009  0.2609  3 Pt 2.52-2.53

=====

2.
Entry from Alexandria: an optimized crystal structure of PtPbSe2 (PBE-GGA).

Calculated values
crystal system: trigonal
formation energy from raw total energies: 11.7 kJ per mole of atoms

Cell lengths 4.4050, 4.4050, 23.1859 Å; angles 90.00, 90.00, 120.00 degrees
Closest atoms and distances in Å follow each position.
Space group R-3m (No. 166, hexagonal axes)
Inequivalent atoms, fractional coordinates:
Pt  0.0000  0.0000  0.0000  2 Se 2.31
Pb  0.0000  0.0000  0.5000  6 Se 2.98
Se  0.0000  0.0000  0.0998  1 Pt 2.31

=====

3.
Entry from Alexandria: an optimized crystal structure of PtPbSe2 (PBE-GGA).

Calculated values
crystal system: cubic
formation energy from raw total energies: 29.7 kJ per mole of atoms

Cell lengths 6.9822, 6.9822, 6.9822 Å; angles 90.00, 90.00, 90.00 degrees
Closest atoms and distances in Å follow each position.
Space group F-43m (No. 216)
Inequivalent atoms, fractional coordinates:
Pt  0.0000  0.0000  0.0000  4 Se 3.02, 4 Pb 3.02
Pb  0.2500  0.2500  0.2500  4 Se 3.02, 4 Pt 3.02
Se  0.0000  0.0000  0.5000  4 Pb 3.02, 4 Se 3.02
Se  0.2500  0.2500  0.7500  4 Se 3.02, 4 Pt 3.02

=====

4.
Entry from Alexandria: an optimized crystal structure of Pt2PbSe (PBE-GGA).

Calculated values
crystal system: monoclinic
formation energy from raw total energies: -7.3 kJ per mole of atoms

Cell lengths 9.8055, 4.4957, 4.1523 Å; angles 90.00, 95.97, 90.00 degrees
Closest atoms and distances in Å follow each position.
Space group Cm (No. 8)
Inequivalent atoms, fractional coordinates:
Pt  0.0000  0.0000  0.0000  1 Se 2.43, 1 Pt 2.66
Pt  0.2312  0.5000  0.0415  2 Se 2.41, 1 Pt 2.66
Pb  0.4927  0.0000  0.4411  6 Pt 2.91-3.24, 1 Se 3.19
Se  0.2301  0.0000  0.8330  3 Pt 2.41-2.43

=====

5.
Entry from Alexandria: an optimized crystal structure of Pt2PbSe (PBE-GGA).

Calculated values
crystal system: tetragonal
formation energy from raw total energies: -7.9 kJ per mole of atoms

Cell lengths 3.5994, 3.5994, 6.3190 Å; angles 90.00, 90.00, 90.00 degrees
Closest atoms and distances in Å follow each position.
Space group P4mm (No. 99)
Inequivalent atoms, fractional coordinates:
Pt  0.0000  0.0000  0.0000  1 Se 2.43
Pt  0.5000  0.5000  0.2694  4 Se 2.65
Pb  0.5000  0.5000  0.7815  6 Pt 2.90-3.24
Se  0.0000  0.0000  0.3846  5 Pt 2.43-2.65

=====

6.
Entry from Alexandria: an optimized crystal structure of Pt4PbSe8 (PBE-GGA).

Calculated values
crystal system: trigonal
formation energy from raw total energies: -32.2 kJ per mole of atoms

Cell lengths 7.6210, 7.6210, 20.8599 Å; angles 90.00, 90.00, 120.00 degrees
Closest atoms and distances in Å follow each position.
Space group R-3m (No. 166, hexagonal axes)
Inequivalent atoms, fractional coordinates:
Pt  0.0000  0.0000  0.0000  6 Se 2.58
Pt  0.0000  0.5000  0.0000  6 Se 2.55
Pb  0.0000  0.0000  0.5000  6 Se 3.07
Se  0.0000  0.0000  0.2715  3 Pt 2.55
Se  0.0040  0.5020  0.2708  3 Pt 2.55-2.58

=====

7.
Entry from Alexandria: an optimized crystal structure of PtPbSe2 (PBE-GGA).

Calculated values
crystal system: monoclinic
formation energy from raw total energies: -32.3 kJ per mole of atoms

Cell lengths 11.9036, 3.8629, 4.7463 Å; angles 90.00, 93.73, 90.00 degrees
Closest atoms and distances in Å follow each position.
Space group Cm (No. 8)
Inequivalent atoms, fractional coordinates:
Pt  0.0000  0.0000  0.0000  4 Se 2.48-2.50
Pb  0.2976  0.5000  0.5173  6 Se 3.07-3.18, 1 Pt 3.21
Se  0.1307  0.5000  0.9841  2 Pt 2.48
Se  0.3681  0.0000  0.0273  2 Pt 2.50

=====

8.
Entry from Alexandria: an optimized crystal structure of PtPbSe2 (PBE-GGA).

Calculated values
crystal system: monoclinic
formation energy from raw total energies: -20.5 kJ per mole of atoms

Cell lengths 4.3446, 4.8464, 4.8451 Å; angles 90.00, 90.08, 90.00 degrees
Closest atoms and distances in Å follow each position.
Space group Pm (No. 6)
Inequivalent atoms, fractional coordinates:
Pt  0.0000  0.0000  0.0000  4 Se 2.51
Pb  0.4412  0.5000  0.4993  4 Se 3.00
Se  0.8488  0.0000  0.4999  2 Pt 2.51
Se  0.8489  0.5000  0.9998  2 Pt 2.51

=====

9.
Entry from Alexandria: an optimized crystal structure of PtPb2Se (PBE-GGA).

Calculated values
crystal system: monoclinic
formation energy from raw total energies: -11.8 kJ per mole of atoms

Cell lengths 3.5747, 3.6046, 7.3855 Å; angles 90.00, 90.01, 90.00 degrees
Closest atoms and distances in Å follow each position.
Space group P2/m (No. 10)
Inequivalent atoms, fractional coordinates:
Pt  0.0000  0.0000  0.0000  8 Pb 3.06-3.07
Pb  0.4970  0.5000  0.2328  4 Pt 3.06-3.07, 4 Se 3.21-3.22
Se  0.0000  0.0000  0.5000  8 Pb 3.21-3.22, 2 Se 3.57

=====

10.
Entry from Alexandria: an optimized crystal structure of PtPbSe2 (PBE-GGA).

Calculated values
crystal system: orthorhombic
formation energy from raw total energies: -1.1 kJ per mole of atoms

Cell lengths 5.5056, 8.1515, 8.1752 Å; angles 90.00, 90.00, 90.00 degrees
Closest atoms and distances in Å follow each position.
Space group Fmmm (No. 69)
Inequivalent atoms, fractional coordinates:
Pt  0.0000  0.0000  0.0000  2 Pb 2.75, 4 Se 2.89
Pb  0.0000  0.0000  0.5000  2 Pt 2.75, 4 Se 2.89
Se  0.0000  0.2500  0.2500  2 Se 2.75, 2 Pb 2.89, 2 Pt 2.89

=====

11.
Entry from Alexandria: an optimized crystal structure of Pt2PbSe (PBE-GGA).

Calculated values
crystal system: trigonal
formation energy from raw total energies: -14.9 kJ per mole of atoms

Cell lengths 3.8169, 3.8169, 21.0243 Å; angles 90.00, 90.00, 120.00 degrees
Closest atoms and distances in Å follow each position.
Space group R3m (No. 160, hexagonal axes)
Inequivalent atoms, fractional coordinates:
Pt  0.0000  0.0000  0.0000  3 Pt 2.70, 3 Pb 2.79
Pt  0.0000  0.0000  0.2593  3 Se 2.49, 3 Pt 2.70
Pb  0.0000  0.0000  0.7481  3 Pt 2.79
Se  0.0000  0.0000  0.5374  3 Pt 2.49

=====

12.
Entry from Alexandria: an optimized crystal structure of PtPbSe2 (PBE-GGA).

Calculated values
crystal system: tetragonal
formation energy from raw total energies: -3.9 kJ per mole of atoms

Cell lengths 3.5148, 3.5148, 8.6055 Å; angles 90.00, 90.00, 90.00 degrees
Closest atoms and distances in Å follow each position.
Space group P4mm (No. 99)
Inequivalent atoms, fractional coordinates:
Pt  0.0000  0.0000  0.0000  4 Se 2.58
Pb  0.5000  0.5000  0.6660  4 Se 2.94
Se  0.0000  0.0000  0.4834  4 Pb 2.94
Se  0.5000  0.5000  0.0807  4 Pt 2.58

=====

What total energy values result from the calculations? In sequence: -171.05 -48.70 -61.94 -39.15 -19.60 -180.28 -36.12 -17.57 -17.43 -67.05 -59.67 -16.88 eV per cell.